VASP calculation (GGA-PBE) on a relaxed structure of Na2Ti12O25.

Structure (CIF):
```
data_Na2Ti12O25
_symmetry_space_group_name_H-M 'P 1'
_symmetry_Int_Tables_number 1
_symmetry_space_group_name_Hall 'P 1'
_cell_length_a 7.516
_cell_length_b 10.093
_cell_length_c 14.681
_cell_angle_alpha 75.37
_cell_angle_beta 89.99
_cell_angle_gamma 68.15
loop_
_atom_site_label
_atom_site_type_symbol
_atom_site_fract_x
_atom_site_fract_y
_atom_site_fract_z
Na1 Na 0.000 0.000 0.000
Na2 Na 0.094 0.312 0.466
Na3 Na 0.493 0.016 0.004
Na4 Na 0.693 0.613 0.923
Ti1 Ti 0.006 0.990 0.613
Ti2 Ti 0.026 0.948 0.373
Ti3 Ti 0.088 0.327 0.087
Ti4 Ti 0.100 0.303 0.842
Ti5 Ti 0.164 0.673 0.560
Ti6 Ti 0.183 0.633 0.319
Ti7 Ti 0.254 0.997 0.789
Ti8 Ti 0.291 0.919 0.207
Ti9 Ti 0.329 0.343 0.259
Ti10 Ti 0.361 0.278 0.672
Ti11 Ti 0.398 0.706 0.726
Ti12 Ti 0.438 0.626 0.143
Ti13 Ti 0.504 0.991 0.612
Ti14 Ti 0.526 0.949 0.372
Ti15 Ti 0.586 0.326 0.086
Ti16 Ti 0.598 0.304 0.842
Ti17 Ti 0.663 0.674 0.560
Ti18 Ti 0.685 0.632 0.319
Ti19 Ti 0.750 0.997 0.788
Ti20 Ti 0.791 0.918 0.206
Ti21 Ti 0.829 0.342 0.260
Ti22 Ti 0.861 0.280 0.673
Ti23 Ti 0.898 0.705 0.726
Ti24 Ti 0.936 0.626 0.142
O1 O 0.043 0.919 0.504
O2 O 0.059 0.383 0.223
O3 O 0.061 0.879 0.244
O4 O 0.093 0.309 0.966
O5 O 0.129 0.743 0.688
O6 O 0.131 0.239 0.710
O7 O 0.147 0.703 0.427
O8 O 0.198 0.106 0.140
O9 O 0.203 0.594 0.181
O10 O 0.218 0.070 0.891
O11 O 0.260 0.468 0.602
O12 O 0.267 0.434 0.361
O13 O 0.275 0.952 0.648
O14 O 0.282 0.936 0.344
O15 O 0.336 0.831 0.101
O16 O 0.338 0.325 0.121
O17 O 0.350 0.302 0.809
O18 O 0.373 0.793 0.829
O19 O 0.388 0.191 0.568
O20 O 0.409 0.683 0.588
O21 O 0.418 0.154 0.329
O22 O 0.418 0.664 0.284
O23 O 0.483 0.035 0.746
O24 O 0.497 0.545 0.046
O25 O 0.504 0.515 0.790
O26 O 0.538 0.921 0.503
O27 O 0.559 0.383 0.227
O28 O 0.561 0.879 0.244
O29 O 0.599 0.309 0.966
O30 O 0.628 0.746 0.684
O31 O 0.631 0.240 0.706
O32 O 0.651 0.704 0.427
O33 O 0.696 0.106 0.139
O34 O 0.703 0.594 0.185
O35 O 0.712 0.072 0.889
O36 O 0.771 0.959 0.646
O37 O 0.772 0.469 0.603
O38 O 0.781 0.940 0.343
O39 O 0.800 0.433 0.363
O40 O 0.833 0.832 0.100
O41 O 0.834 0.794 0.827
O42 O 0.842 0.316 0.125
O43 O 0.853 0.294 0.810
O44 O 0.907 0.687 0.587
O45 O 0.915 0.672 0.282
O46 O 0.922 0.189 0.570
O47 O 0.929 0.154 0.331
O48 O 0.958 0.546 0.044
O49 O 0.982 0.515 0.790
O50 O 0.988 0.025 0.750
```

Properties
Symmetry = P1 (1)
ΔE to the lowest computed polymorph = 0 meV per atom

VASP calculation (GGA-PBE) on a relaxed structure of Na6Ti2O7.

Structure (CIF):
```
data_Na6Ti2O7
_symmetry_space_group_name_H-M 'P 1'
_symmetry_Int_Tables_number 1
_symmetry_space_group_name_Hall 'P 1'
_cell_length_a 5.994
_cell_length_b 8.662
_cell_length_c 10.877
_cell_angle_alpha 90.00
_cell_angle_beta 123.16
_cell_angle_gamma 90.00
loop_
_atom_site_label
_atom_site_type_symbol
_atom_site_fract_x
_atom_site_fract_y
_atom_site_fract_z
Na1 Na 0.000 0.061 0.000
Na2 Na 0.000 0.939 0.500
Na3 Na 0.127 0.288 0.517
Na4 Na 0.127 0.712 0.017
Na5 Na 0.305 0.087 0.806
Na6 Na 0.305 0.913 0.306
Na7 Na 0.505 0.415 0.282
Na8 Na 0.505 0.585 0.782
Na9 Na 0.684 0.213 0.571
Na10 Na 0.684 0.787 0.071
Na11 Na 0.811 0.438 0.088
Na12 Na 0.811 0.562 0.588
Ti1 Ti 0.188 0.406 0.904
Ti2 Ti 0.188 0.594 0.404
Ti3 Ti 0.622 0.094 0.184
Ti4 Ti 0.622 0.906 0.684
O1 O 0.096 0.349 0.721
O2 O 0.096 0.651 0.221
O3 O 0.402 0.426 0.461
O4 O 0.402 0.574 0.961
O5 O 0.404 0.248 0.042
O6 O 0.404 0.752 0.542
O7 O 0.410 0.075 0.629
O8 O 0.410 0.925 0.129
O9 O 0.714 0.153 0.366
O10 O 0.714 0.847 0.866
O11 O 0.901 0.450 0.910
O12 O 0.901 0.550 0.410
O13 O 0.909 0.048 0.177
O14 O 0.909 0.952 0.677
```

Properties
Symmetry = Pc (7)
ΔE to the lowest computed polymorph = 32 meV per atom

VASP calculation (GGA-PBE) on a relaxed structure of Na7Ti16O32.

Structure (CIF):
```
data_Na7Ti16O32
_symmetry_space_group_name_H-M 'P 1'
_symmetry_Int_Tables_number 1
_symmetry_space_group_name_Hall 'P 1'
_cell_length_a 10.636
_cell_length_b 10.636
_cell_length_c 10.636
_cell_angle_alpha 131.80
_cell_angle_beta 131.80
_cell_angle_gamma 70.55
loop_
_atom_site_label
_atom_site_type_symbol
_atom_site_fract_x
_atom_site_fract_y
_atom_site_fract_z
Na1 Na 0.000 0.000 0.000
Na2 Na 0.128 0.624 0.000
Na3 Na 0.250 0.750 0.500
Na4 Na 0.376 0.376 0.504
Na5 Na 0.624 0.128 0.000
Na6 Na 0.750 0.250 0.500
Na7 Na 0.872 0.872 0.496
Ti1 Ti 0.061 0.311 0.000
Ti2 Ti 0.070 0.317 0.509
Ti3 Ti 0.190 0.190 0.752
Ti4 Ti 0.193 0.683 0.753
Ti5 Ti 0.311 0.061 0.000
Ti6 Ti 0.317 0.070 0.509
Ti7 Ti 0.438 0.438 0.248
Ti8 Ti 0.440 0.930 0.247
Ti9 Ti 0.560 0.807 0.491
Ti10 Ti 0.562 0.810 0.000
Ti11 Ti 0.683 0.193 0.753
Ti12 Ti 0.689 0.689 0.751
Ti13 Ti 0.807 0.560 0.491
Ti14 Ti 0.810 0.562 0.000
Ti15 Ti 0.930 0.440 0.247
Ti16 Ti 0.939 0.939 0.249
O1 O 0.033 0.535 0.213
O2 O 0.052 0.553 0.712
O3 O 0.074 0.074 0.290
O4 O 0.089 0.089 0.787
O5 O 0.159 0.447 0.499
O6 O 0.179 0.967 0.502
O7 O 0.195 0.409 0.000
O8 O 0.216 0.926 0.000
O9 O 0.288 0.288 0.717
O10 O 0.302 0.302 0.213
O11 O 0.322 0.821 0.787
O12 O 0.340 0.841 0.288
O13 O 0.409 0.195 0.000
O14 O 0.430 0.712 0.000
O15 O 0.447 0.159 0.499
O16 O 0.465 0.678 0.498
O17 O 0.535 0.033 0.213
O18 O 0.553 0.052 0.712
O19 O 0.570 0.570 0.283
O20 O 0.591 0.591 0.786
O21 O 0.660 0.948 0.501
O22 O 0.678 0.465 0.498
O23 O 0.698 0.911 0.000
O24 O 0.712 0.430 0.000
O25 O 0.784 0.784 0.710
O26 O 0.805 0.805 0.214
O27 O 0.821 0.322 0.787
O28 O 0.841 0.340 0.288
O29 O 0.911 0.698 0.000
O30 O 0.926 0.216 0.000
O31 O 0.948 0.660 0.501
O32 O 0.967 0.179 0.502
```

Properties
Symmetry = I-42m (121)

N(E_F) values, unit states/eV/atom, following the record order: 0.00 0.00 0.40.
Total magnetization values, unit μB per atom, following the record order: 0.004 0.000 0.002.
Formation energy (no corrections) values, unit eV/atom, following the record order: -2.95 -2.20 -2.75.